{"formula": "KGaPb", "functional": "GGA-PBE", "state": "relaxed", "lattice": [[-2.1316, 3.5574, 6.8045], [2.1316, -3.5574, 6.8045], [2.1316, 3.5574, -6.8045]], "species": ["K", "K", "Ga", "Ga", "Pb", "Pb"], "frac_coords": [[0.1889, 0.1889, 0.0000], [0.8111, 0.8111, 0.0000], [0.3926, 0.8926, 0.5000], [0.6074, 0.1074, 0.5000], [0.2750, 0.5000, 0.7750], [0.7250, 0.5000, 0.2250]], "volume_a3_per_atom": 34.399, "sg": "Immm, No. 71", "formation_enthalpy_0k_ev_per_atom": -0.12, "mass_density_kg_m3": 5085}